ThScIn | GGA-PBE | relaxed

```
6
Lattice="5.058 0.000 0.000 2.529 4.381 0.000 2.529 1.460 7.694" Properties=species:S:1:pos:R:3 pbc="T T T"
Th 7.587 4.381 6.696
Th 2.529 1.460 0.998
In 5.058 2.920 2.389
Sc 7.587 4.381 3.158
In 5.058 2.920 5.305
Sc 2.529 1.460 4.536
```

Summary:
Symmetry ... No. 166
Magnetic moment ... 0.0 μB/f.u.
Electronic total energy ... -5.548 eV per atom
ΔH_f (0 K) ... -0.052 eV per atom
Crystal system ... trigonal

***

Nd4Sm2Tm | GGA-PBE | relaxed

```
7
Lattice="-5.031 1.795 -2.788 -3.301 -3.919 3.433 0.809 6.637 2.814" Properties=species:S:1:pos:R:3 pbc="T T T"
Sm -4.823 2.590 3.859
Tm -1.650 -1.959 1.716
Nd -4.397 0.222 1.565
Nd -0.321 1.781 1.725
Nd -2.172 0.937 4.521
Sm -2.700 1.923 -0.401
Nd -3.126 4.291 1.893
```

Summary:
Symmetry ... No. 65
Magnetic moment ... 0.0 μB/f.u.
Electronic total energy ... -4.272 eV per atom
ΔH_f (0 K) ... 0.440 eV per atom
Crystal system ... orthorhombic